The following is a DFT calculation (PBE) of FeAs2H after structural relaxation.

Results
density of states at the Fermi level: 0.5040 states/eV per atom
electronic total energy: -76.92 eV per cell
calculated density: 6.18 g/cm3
V: 13.9 A^3/atom

POSCAR file:
```
FeAs2H
1.0
5.438 0.000 0.000
0.000 5.438 0.000
0.000 0.000 7.510
Fe As H
4 8 4
direct
0.000 0.000 0.000
0.000 0.500 0.250
0.500 0.000 0.750
0.500 0.500 0.500
0.208 0.250 0.625
0.250 0.708 0.875
0.250 0.792 0.375
0.292 0.250 0.125
0.708 0.750 0.125
0.750 0.208 0.375
0.750 0.292 0.875
0.792 0.750 0.625
0.000 0.000 0.500
0.000 0.500 0.750
0.500 0.000 0.250
0.500 0.500 0.000
```